Record 1
Material: Mg2Sc5InPt2
Method: DFT, PBE
State: optimized geometry

Lattice parameters (Å, degrees): 11.3834 11.3834 3.4912 90.00 90.00 90.00
Sites, in units of the cell vectors:
Mg: 0.1745 0.3255 0.0000
Mg: 0.3255 0.8255 0.0000
Mg: 0.6745 0.1745 0.0000
Mg: 0.8255 0.6745 0.0000
Sc: 0.0000 0.5000 0.5000
Sc: 0.0701 0.7947 0.5000
Sc: 0.2053 0.0701 0.5000
Sc: 0.2947 0.5701 0.5000
Sc: 0.4299 0.2947 0.5000
Sc: 0.5000 0.0000 0.5000
Sc: 0.5701 0.7053 0.5000
Sc: 0.7053 0.4299 0.5000
Sc: 0.7947 0.9299 0.5000
Sc: 0.9299 0.2053 0.5000
In: 0.0000 0.0000 0.0000
In: 0.5000 0.5000 0.0000
Pt: 0.1290 0.6290 0.0000
Pt: 0.3710 0.1290 0.0000
Pt: 0.6290 0.8710 0.0000
Pt: 0.8710 0.3710 0.0000

Properties
**Raw total energy**: -111.864 eV per cell
**Total magnetic moment**: 0.00 μB per cell
**Space group**: P4/mbm

***

Record 2
Material: Ba3TmCd2O6
Method: DFT, PBE
State: optimized geometry

Lattice parameters (Å, degrees): 6.2857 6.2857 7.0037 90.00 90.00 120.00
Sites, in units of the cell vectors:
Ba: 0.0000 0.0000 0.0000
Ba: 0.3333 0.6667 0.6165
Ba: 0.6667 0.3333 0.3835
Tm: 0.0000 0.0000 0.5000
Cd: 0.3333 0.6667 0.1494
Cd: 0.6667 0.3333 0.8506
O: 0.1631 0.3262 0.3114
O: 0.1631 0.8369 0.3114
O: 0.3262 0.1631 0.6886
O: 0.6738 0.8369 0.3114
O: 0.8369 0.1631 0.6886
O: 0.8369 0.6738 0.6886

Properties
**Total magnetic moment**: 0.00 μB per cell
**Space group**: P-3m1
**Formation energy from raw total energies**: -2.101 eV/atom